No. 1
A plane-wave DFT calculation with PBE was carried out for crystalline Sc11In9Ga4 at its relaxed geometry.

Unit cell a=14.0797 b=21.4162 c=3.4110 alpha=90.00 beta=90.00 gamma=90.00
Last column: nearest neighbours and their distance in Å.
Space group Cmmm (No. 65)
Inequivalent atoms, fractional coordinates:
1 Sc 0.0000 0.0000 0.0000 x2  8 In 3.05, 2 Sc 3.41
2 Sc 0.0000 0.1616 0.0000 x4  8 In 3.16-3.18, 5 Sc 3.30-3.46
3 Sc 0.0000 0.3718 0.0000 x4  4 Ga 2.83
4 Sc 0.1989 0.5000 0.0000 x4  4 Ga 2.82
5 Sc 0.2334 0.1762 0.0000 x8  2 Ga 2.82, 6 In 3.06-3.10
6 In 0.0000 0.5000 0.5000 x2  4 Ga 3.07, 8 Sc 3.23-3.28, 2 In 3.41
7 In 0.1072 0.2639 0.5000 x8  1 Ga 2.97, 1 In 3.02, 8 Sc 3.10-3.24
8 In 0.1384 0.0755 0.5000 x8  1 Ga 2.96, 8 Sc 3.05-3.28, 1 In 3.23
9 Ga 0.1551 0.3991 0.5000 x8  6 Sc 2.82-2.83, 3 In 2.96-3.07

Values from the calculation:
Calculated total energy   -235.01 eV per cell
Energy relative to the elements   -0.4627 eV per atom
DOS at the Fermi energy   23.97 states/eV/cell
Magnetic moment   0.53 μB per cell


No. 2
A plane-wave DFT calculation with PBE was carried out for crystalline K7Rb at its relaxed geometry.

Unit cell a=13.3292 b=13.3292 c=13.3292 alpha=90.00 beta=90.00 gamma=90.00
Last column: nearest neighbours and their distance in Å.
Space group Fm-3m (No. 225)
Inequivalent atoms, fractional coordinates:
1 K 0.0000 0.0000 0.0000 x4  12 K 4.71
2 K 0.0000 0.2500 0.2500 x24  10 K 4.71, 2 Rb 4.71
3 Rb 0.0000 0.0000 0.5000 x4  12 K 4.71

Values from the calculation:
Calculated total energy   -34.49 eV per cell
Energy relative to the elements   0.0034 eV per atom
DOS at the Fermi energy   28.86 states/eV/cell
Magnetic moment   0.00 μB per cell


No. 3
A plane-wave DFT calculation with PBE was carried out for crystalline PmScCdCo at its relaxed geometry.

Unit cell a=7.0274 b=7.0274 c=7.0274 alpha=90.00 beta=90.00 gamma=90.00
Last column: nearest neighbours and their distance in Å.
Space group F-43m (No. 216)
Inequivalent atoms, fractional coordinates:
1 Pm 0.0000 0.0000 0.0000 x4  4 Cd 3.04, 4 Co 3.04
2 Sc 0.0000 0.0000 0.5000 x4  4 Co 3.04, 4 Cd 3.04
3 Cd 0.2500 0.2500 0.2500 x4  4 Sc 3.04, 4 Pm 3.04
4 Co 0.2500 0.2500 0.7500 x4  4 Pm 3.04, 4 Sc 3.04

Values from the calculation:
Calculated total energy   -77.84 eV per cell
Energy relative to the elements   -0.0891 eV per atom
DOS at the Fermi energy   9.01 states/eV/cell
Magnetic moment   1.63 μB per cell


No. 4
A plane-wave DFT calculation with PBE was carried out for crystalline BaSr4Ni at its relaxed geometry.

Unit cell a=7.4462 b=8.3045 c=10.2921 alpha=105.51 beta=111.21 gamma=90.01
Last column: nearest neighbours and their distance in Å.
Space group P-1 (No. 2)
Inequivalent atoms, fractional coordinates:
1 Ba 0.0901 0.2501 0.0005 x2  10 Sr 4.31-4.40, 2 Ba 4.36
2 Sr 0.1293 0.1605 0.4089 x2  2 Ni 3.00-3.01
3 Sr 0.2799 0.6608 0.4095 x2  2 Ni 3.00-3.01
4 Sr 0.3045 0.5557 0.7901 x2  1 Ni 2.94
5 Sr 0.4853 0.0561 0.7901 x2  1 Ni 2.94
6 Ni 0.0000 0.5000 0.5000 x1  6 Sr 2.94-3.01
7 Ni 0.5000 0.0000 0.5000 x1  6 Sr 2.94-3.01

Values from the calculation:
Calculated total energy   -29.02 eV per cell
Energy relative to the elements   -0.0132 eV per atom
DOS at the Fermi energy   10.49 states/eV/cell
Excess energy over the best structure of this formula in the dataset   0.00 kJ/mol of atoms
Magnetic moment   0.00 μB per cell


No. 5
A plane-wave DFT calculation with PBE was carried out for crystalline SmHfAg at its relaxed geometry.

Unit cell a=3.4029 b=3.4029 c=12.5252 alpha=90.00 beta=90.00 gamma=90.00
Last column: nearest neighbours and their distance in Å.
Space group I4mm (No. 107)
Inequivalent atoms, fractional coordinates:
1 Sm 0.0000 0.0000 0.0000 x2  4 Hf 3.31, 4 Ag 3.33, 4 Sm 3.40
2 Hf 0.0000 0.0000 0.6817 x2  4 Ag 2.94
3 Ag 0.0000 0.0000 0.3164 x2  4 Hf 2.94

Values from the calculation:
Calculated total energy   -35.14 eV per cell
Energy relative to the elements   -0.0158 eV per atom
DOS at the Fermi energy   9.04 states/eV/cell
Magnetic moment   0.00 μB per cell


No. 6
A plane-wave DFT calculation with PBE was carried out for crystalline Pm3AsSN at its relaxed geometry.

Unit cell a=8.3636 b=4.0594 c=9.2204 alpha=90.00 beta=100.15 gamma=90.00
Last column: nearest neighbours and their distance in Å.
Space group P2_1/m (No. 11)
Inequivalent atoms, fractional coordinates:
1 Pm 0.0915 0.2500 0.3411 x2  3 S 2.80-2.88, 2 As 2.91
2 Pm 0.3275 0.2500 0.9896 x2  3 N 2.30-2.33
3 Pm 0.4016 0.7500 0.6545 x2  1 N 2.24
4 As 0.3276 0.7500 0.2988 x2  5 Pm 2.91-3.23
5 S 0.1504 0.2500 0.6492 x2  5 Pm 2.80-2.92
6 N 0.4045 0.7500 0.8978 x2  4 Pm 2.24-2.33

Values from the calculation:
Calculated total energy   -81.09 eV per cell
DOS at the Fermi energy   4.21 states/eV/cell
Magnetic moment   0.00 μB per cell
Uncorrected formation energy   -1531.7 meV per atom


No. 7
A plane-wave DFT calculation with PBE was carried out for crystalline H3PtRh at its relaxed geometry.

Unit cell a=2.9535 b=4.6568 c=6.0240 alpha=90.00 beta=103.51 gamma=90.00
Last column: nearest neighbours and their distance in Å.
Space group P2_1/m (No. 11)
Inequivalent atoms, fractional coordinates:
1 H 0.0036 0.2500 0.4512 x2  2 Pt 1.80-1.81, 1 Rh 1.82
2 H 0.3057 0.5013 0.1274 x4  1 Pt 1.84, 3 Rh 1.88-1.95
3 Pt 0.4097 0.7500 0.3708 x2  4 H 1.80-1.84
4 Rh 0.1908 0.7500 0.8591 x2  7 H 1.82-1.95

Values from the calculation:
Calculated total energy   -46.30 eV per cell
DOS at the Fermi energy   2.98 states/eV/cell
Excess energy over the best structure of this formula in the dataset   0.00 kJ/mol of atoms
Magnetic moment   0.00 μB per cell


No. 8
A plane-wave DFT calculation with PBE was carried out for crystalline SeBr3O at its relaxed geometry.

Unit cell a=5.2373 b=5.2373 c=5.2373 alpha=90.00 beta=90.00 gamma=90.00
Last column: nearest neighbours and their distance in Å.
Space group Pm-3m (No. 221)
Inequivalent atoms, fractional coordinates:
1 Se 0.0000 0.0000 0.0000 x1  6 Br 2.62
2 Br 0.0000 0.0000 0.5000 x3  2 Se 2.62
3 O 0.5000 0.5000 0.5000 x1  12 Br 3.70

Values from the calculation:
Calculated total energy   -9.18 eV per cell
DOS at the Fermi energy   32.89 states/eV/cell
Excess energy over the best structure of this formula in the dataset   99.02 kJ/mol of atoms
Magnetic moment   0.00 μB per cell
Uncorrected formation energy   857.0 meV per atom


No. 9
A plane-wave DFT calculation with PBE was carried out for crystalline TlZnGa at its relaxed geometry.

Unit cell a=5.0754 b=4.2853 c=6.4394 alpha=90.00 beta=95.95 gamma=90.00
Last column: nearest neighbours and their distance in Å.
Space group P2_1/m (No. 11)
Inequivalent atoms, fractional coordinates:
1 Tl 0.2328 0.2500 0.4604 x2  3 Ga 3.11-3.20, 2 Zn 3.19-3.33, 4 Tl 3.27-3.45
2 Zn 0.1281 0.2500 0.9632 x2  4 Ga 2.56-2.68, 2 Zn 2.58
3 Ga 0.3916 0.7500 0.1262 x2  4 Zn 2.56-2.68

Values from the calculation:
Calculated total energy   -12.89 eV per cell
Energy relative to the elements   0.0742 eV per atom
DOS at the Fermi energy   1.92 states/eV/cell
Magnetic moment   0.00 μB per cell


No. 10
A plane-wave DFT calculation with PBE was carried out for crystalline Hg2MoW at its relaxed geometry.

Unit cell a=5.0285 b=5.0285 c=2.8681 alpha=90.00 beta=90.00 gamma=90.00
Last column: nearest neighbours and their distance in Å.
Space group P4/mmm (No. 123)
Inequivalent atoms, fractional coordinates:
1 Hg 0.0000 0.5000 0.0000 x2  2 Hg 2.87, 4 W 2.89, 4 Mo 2.89
2 Mo 0.0000 0.0000 0.5000 x1  2 Mo 2.87, 8 Hg 2.89
3 W 0.5000 0.5000 0.5000 x1  2 W 2.87, 8 Hg 2.89

Values from the calculation:
Calculated total energy   -20.54 eV per cell
Energy relative to the elements   0.9629 eV per atom
DOS at the Fermi energy   3.82 states/eV/cell
Excess energy over the best structure of this formula in the dataset   49.98 kJ/mol of atoms
Magnetic moment   0.00 μB per cell


No. 11
A plane-wave DFT calculation with PBE was carried out for crystalline K4Y3InTe8 at its relaxed geometry.

Unit cell a=8.9771 b=8.9771 c=24.7717 alpha=90.00 beta=90.00 gamma=120.00
Last column: nearest neighbours and their distance in Å.
Space group R-3m (No. 166, hexagonal axes)
Inequivalent atoms, fractional coordinates:
1 K 0.0000 0.0000 0.0000 x3  6 Te 3.57
2 K 0.0000 0.5000 0.0000 x9  6 Te 3.53-3.54
3 Y 0.0000 0.5000 0.5000 x9  6 Te 3.11
4 In 0.0000 0.0000 0.5000 x3  6 Te 3.07
5 Te 0.0000 0.0000 0.2364 x6  3 Y 3.11
6 Te 0.0041 0.5021 0.2353 x18  1 In 3.07, 2 Y 3.11

Values from the calculation:
Calculated total energy   -212.30 eV per cell
DOS at the Fermi energy   5.96 states/eV/cell
Magnetic moment   0.00 μB per cell
Uncorrected formation energy   -1194.6 meV per atom


No. 12
A plane-wave DFT calculation with PBE was carried out for crystalline ThFeGe3Rh at its relaxed geometry.

Unit cell a=6.4063 b=12.5355 c=5.9457 alpha=90.00 beta=90.00 gamma=90.00
Last column: nearest neighbours and their distance in Å.
Space group Cmcm (No. 63)
Inequivalent atoms, fractional coordinates:
1 Th 0.0000 0.1984 0.2500 x4  1 Fe 2.74, 2 Ge 2.97
2 Fe 0.0000 0.0204 0.7500 x4  5 Ge 2.29-2.36
3 Ge 0.0000 0.2027 0.7500 x4  1 Fe 2.29, 1 Rh 2.32
4 Ge 0.2170 0.5000 0.0000 x8  2 Fe 2.36, 2 Rh 2.47
5 Rh 0.0000 0.3878 0.7500 x4  5 Ge 2.32-2.47

Values from the calculation:
Calculated total energy   -155.23 eV per cell
Energy relative to the elements   -0.2870 eV per atom
DOS at the Fermi energy   13.69 states/eV/cell
Magnetic moment   0.71 μB per cell